(1)
Here is a relaxed structure of BePtNO from the Open Quantum Materials Database. Energies are from PBE.

Properties
The calculation puts the uncorrected energy at -5.637 eV per atom. As for the magnetization: 0.5 μB/f.u. Its offset from the most stable computed form is 772 meV per atom.

a = 3.3063 Å, b = 3.3063 Å, c = 8.0632 Å
α = 90.00°, β = 90.00°, γ = 90.00°
With the nearest neighbours (Å) after each atom.
Sites, in units of the cell vectors:
O 0.5000 0.0000 0.0000  4 Pt 2.16, 4 O 2.34
Be 0.5000 0.0000 0.5000  4 N 1.78
N 0.5000 0.5000 0.4182  4 Be 1.78, 1 Pt 1.98
Pt 0.0000 0.0000 0.8277  1 N 1.98, 4 O 2.16
O 0.0000 0.5000 0.0000  4 Pt 2.16, 4 O 2.34
N 0.0000 0.0000 0.5818  4 Be 1.78, 1 Pt 1.98
Be 0.0000 0.5000 0.5000  4 N 1.78
Pt 0.5000 0.5000 0.1723  1 N 1.98, 4 O 2.16



(2)
Here is a relaxed structure of TbHoZr2Sb2 from the Open Quantum Materials Database. Energies are from PBE.

Properties
The calculation puts the uncorrected energy at -6.560 eV per atom. As for the magnetization: 0.1 μB/f.u.

a = 8.8474 Å, b = 8.8474 Å, c = 8.8474 Å
α = 152.07°, β = 152.07°, γ = 39.92°
With the nearest neighbours (Å) after each atom.
Sites, in units of the cell vectors:
Sb 0.8668 0.8668 0.0000  4 Zr 3.08, 4 Tb 3.11, 1 Ho 3.16
Tb 0.3226 0.3226 0.0000  5 Sb 3.11-3.15
Sb 0.1334 0.1334 0.0000  4 Zr 3.08, 4 Ho 3.10, 1 Tb 3.15
Ho 0.6767 0.6767 0.0000  5 Sb 3.10-3.16
Zr 0.0002 0.5002 0.5000  4 Zr 3.02, 4 Sb 3.08
Zr 0.5002 0.0002 0.5000  4 Zr 3.02, 4 Sb 3.08



(3)
Here is a relaxed structure of Sm3Dy2Sb3 from the Open Quantum Materials Database. Energies are from PBE.

Properties
The calculation puts the uncorrected energy at -5.418 eV per atom. As for the magnetization: 0.3 μB/f.u.

a = 9.0979 Å, b = 9.0979 Å, c = 6.3895 Å
α = 90.00°, β = 90.00°, γ = 120.00°
With the nearest neighbours (Å) after each atom.
Sites, in units of the cell vectors:
Sb 0.6087 0.6087 0.2500  5 Sm 3.12-3.45, 4 Dy 3.23
Dy 0.6667 0.3333 0.0000  2 Dy 3.19, 6 Sb 3.23
Sm 0.7521 0.7521 0.7500  5 Sb 3.12-3.45
Sm 0.0000 0.7521 0.2500  5 Sb 3.12-3.45
Dy 0.6667 0.3333 0.5000  2 Dy 3.19, 6 Sb 3.23
Sm 0.2479 0.0000 0.7500  5 Sb 3.12-3.45
Sb 0.3913 0.0000 0.2500  5 Sm 3.12-3.45, 4 Dy 3.23
Sm 0.7521 0.0000 0.2500  5 Sb 3.12-3.45
Sm 0.2479 0.2479 0.2500  5 Sb 3.12-3.45
Sb 0.0000 0.6087 0.7500  5 Sm 3.12-3.45, 4 Dy 3.23
Dy 0.3333 0.6667 0.5000  2 Dy 3.19, 6 Sb 3.23
Sm 0.0000 0.2479 0.7500  5 Sb 3.12-3.45
Sb 0.0000 0.3913 0.2500  5 Sm 3.12-3.45, 4 Dy 3.23
Dy 0.3333 0.6667 0.0000  2 Dy 3.19, 6 Sb 3.23
Sb 0.3913 0.3913 0.7500  5 Sm 3.12-3.45, 4 Dy 3.23
Sb 0.6087 0.0000 0.7500  5 Sm 3.12-3.45, 4 Dy 3.23



(4)
Here is a relaxed structure of YCuHgB from the Open Quantum Materials Database. Energies are from PBE.

Properties
The calculation puts the uncorrected energy at -3.733 eV per atom. As for the magnetization: 0.0 μB/f.u. Its offset from the most stable computed form is 197 meV per atom.

a = 4.6498 Å, b = 4.6498 Å, c = 4.6498 Å
α = 60.00°, β = 60.00°, γ = 60.00°
With the nearest neighbours (Å) after each atom.
Sites, in units of the cell vectors:
Cu 0.7500 0.7500 0.7500  4 B 2.85, 4 Y 2.85
Hg 0.2500 0.2500 0.2500  4 B 2.85, 4 Y 2.85
B 0.0000 0.0000 0.0000  4 Hg 2.85, 4 Cu 2.85
Y 0.5000 0.5000 0.5000  4 Hg 2.85, 4 Cu 2.85



(5)
Here is a relaxed structure of ZrB2Te from the Open Quantum Materials Database. Energies are from PBE.

Properties
The calculation puts the uncorrected energy at -4.880 eV per atom. As for the magnetization: 0.0 μB/f.u.

a = 4.5914 Å, b = 4.5914 Å, c = 4.5914 Å
α = 60.00°, β = 60.00°, γ = 60.00°
With the nearest neighbours (Å) after each atom.
Sites, in units of the cell vectors:
B 0.2500 0.2500 0.2500  4 B 2.81, 4 Zr 2.81
Zr 0.0000 0.0000 0.0000  4 Te 2.81, 4 B 2.81
Te 0.7500 0.7500 0.7500  4 Zr 2.81, 4 B 2.81
B 0.5000 0.5000 0.5000  4 B 2.81, 4 Te 2.81



(6)
Here is a relaxed structure of MgCoAsPt from the Open Quantum Materials Database. Energies are from PBE.

Properties
The calculation puts the uncorrected energy at -5.039 eV per atom. As for the magnetization: 1.5 μB/f.u. Its offset from the most stable computed form is 0 meV per atom.

a = 4.3722 Å, b = 4.3722 Å, c = 4.3722 Å
α = 60.00°, β = 60.00°, γ = 60.00°
With the nearest neighbours (Å) after each atom.
Sites, in units of the cell vectors:
Co 0.7500 0.7500 0.7500  4 As 2.68, 4 Mg 2.68
Pt 0.2500 0.2500 0.2500  4 Mg 2.68, 4 As 2.68
As 0.0000 0.0000 0.0000  4 Co 2.68, 4 Pt 2.68
Mg 0.5000 0.5000 0.5000  4 Pt 2.68, 4 Co 2.68



Question: Which value of uncorrected energy does entry 3 give?
Answer: -5.418 eV per atom



Question: The highest magnetization belongs to which entry?
Answer: MgCoAsPt